P:
The following is a DFT calculation (PBE) of a relaxed SrGa2I6 crystal.

```
data_SrGa2I6
_chemical_formula_sum 'Sr4 Ga8 I24'
_symmetry_space_group_name_H-M 'C 1 2/c 1'
_symmetry_Int_Tables_number 15
_cell_length_a 16.452
_cell_length_b 13.563
_cell_length_c 7.631
_cell_angle_alpha 90.00
_cell_angle_beta 99.26
_cell_angle_gamma 90.00
loop_
_symmetry_equiv_pos_as_xyz
'x,y,z'
'-x,-y,-z'
'-x,y,-z+1/2'
'x,-y,z+1/2'
'x+1/2,y+1/2,z'
'-x+1/2,-y+1/2,-z'
'-x+1/2,y+1/2,-z+1/2'
'x+1/2,-y+1/2,z+1/2'
loop_
_atom_site_label
_atom_site_type_symbol
_atom_site_fract_x
_atom_site_fract_y
_atom_site_fract_z
Sr1 Sr 0.000 0.080 0.250
Ga1 Ga 0.075 0.425 0.255
I1 I 0.120 0.086 0.628
I2 I 0.127 0.266 0.124
I3 I 0.150 0.427 0.603
```

ρ = 3.9 g cm⁻³

---

Q:
The following is a DFT calculation (PBE) of a relaxed SrGa2I6 crystal.

```
data_SrGa2I6
_chemical_formula_sum 'Sr3 Ga6 I18'
_symmetry_space_group_name_H-M 'R 3'
_symmetry_Int_Tables_number 146
_symmetry_space_group_name_Hall 'R 3'
_cell_length_a 7.8288
_cell_length_b 7.8288
_cell_length_c 25.8065
_cell_angle_alpha 90.00
_cell_angle_beta 90.00
_cell_angle_gamma 120.00
loop_
_atom_site_label
_atom_site_type_symbol
_atom_site_fract_x
_atom_site_fract_y
_atom_site_fract_z
Sr1 Sr 0.0000 0.0000 0.0000
Ga1 Ga 0.0000 0.0000 0.6199
Ga2 Ga 0.0000 0.0000 0.7143
I1 I 0.0048 0.6351 0.4189
I2 I 0.0062 0.3680 0.2485
```

N(E_F) = 0.00 states/eV per atom
ρ = 3.6 g cm⁻³

---

Best to worst by energy: Q, P.

---

P:
The following is a DFT calculation (PBE) of a relaxed SrGaTe2I crystal.

```
data_SrGaTe2I
_chemical_formula_sum 'Sr1 Ga1 Te2 I1'
_symmetry_space_group_name_H-M 'P 4/m m m'
_symmetry_Int_Tables_number 123
_symmetry_space_group_name_Hall '-P 4 2'
_cell_length_a 5.439
_cell_length_b 5.439
_cell_length_c 5.912
_cell_angle_alpha 90.00
_cell_angle_beta 90.00
_cell_angle_gamma 90.00
loop_
_atom_site_label
_atom_site_type_symbol
_atom_site_fract_x
_atom_site_fract_y
_atom_site_fract_z
Sr1 Sr 0.000 0.000 0.000
Ga1 Ga 0.500 0.500 0.500
Te1 Te 0.000 0.500 0.500
I1 I 0.500 0.500 0.000
```

N(E_F) = 0.11 states/eV per atom
ρ = 5.1 g cm⁻³

---

Q:
The following is a DFT calculation (PBE) of a relaxed SrGaTe2I crystal.

```
data_SrGaTe2I
_chemical_formula_sum 'Sr1 Ga1 Te2 I1'
_symmetry_space_group_name_H-M 'P 4/m m m'
_symmetry_Int_Tables_number 123
_symmetry_space_group_name_Hall '-P 4 2'
_cell_length_a 6.270
_cell_length_b 6.270
_cell_length_c 6.375
_cell_angle_alpha 90.00
_cell_angle_beta 90.00
_cell_angle_gamma 90.00
loop_
_atom_site_label
_atom_site_type_symbol
_atom_site_fract_x
_atom_site_fract_y
_atom_site_fract_z
Sr1 Sr 0.000 0.000 0.000
Ga1 Ga 0.500 0.500 0.500
Te1 Te 0.000 0.500 0.000
I1 I 0.000 0.000 0.500
```

N(E_F) = 1.24 states/eV per atom
ρ = 3.6 g cm⁻³

---

Best to worst by energy: P, Q.

---

P:
The following is a DFT calculation (PBE) of a relaxed TaGa3I crystal.

```
data_TaGa3I
_chemical_formula_sum 'Ta1 Ga3 I1'
_symmetry_space_group_name_H-M 'P m -3 m'
_symmetry_Int_Tables_number 221
_symmetry_space_group_name_Hall '-P 4 2 3'
_cell_length_a 5.580
_cell_length_b 5.580
_cell_length_c 5.580
_cell_angle_alpha 90.00
_cell_angle_beta 90.00
_cell_angle_gamma 90.00
loop_
_atom_site_label
_atom_site_type_symbol
_atom_site_fract_x
_atom_site_fract_y
_atom_site_fract_z
Ta1 Ta 0.000 0.000 0.000
Ga1 Ga 0.000 0.500 0.500
I1 I 0.500 0.500 0.500
```

N(E_F) = 0.84 states/eV per atom
ρ = 4.9 g cm⁻³

---

Q:
The following is a DFT calculation (PBE) of a relaxed TaGa3I crystal.

```
data_TaGa3I
_chemical_formula_sum 'Ta1 Ga3 I1'
_symmetry_space_group_name_H-M 'P m -3 m'
_symmetry_Int_Tables_number 221
_symmetry_space_group_name_Hall '-P 4 2 3'
_cell_length_a 5.266
_cell_length_b 5.266
_cell_length_c 5.266
_cell_angle_alpha 90.00
_cell_angle_beta 90.00
_cell_angle_gamma 90.00
loop_
_atom_site_label
_atom_site_type_symbol
_atom_site_fract_x
_atom_site_fract_y
_atom_site_fract_z
Ta1 Ta 0.000 0.000 0.000
Ga1 Ga 0.000 0.000 0.500
I1 I 0.500 0.500 0.500
```

N(E_F) = 1.01 states/eV per atom
ρ = 5.9 g cm⁻³

---

Best to worst by energy: Q, P.

---

P:
The following is a DFT calculation (PBE) of a relaxed Tb2GaI crystal.

```
data_Tb2GaI
_chemical_formula_sum 'Tb2 Ga1 I1'
_symmetry_space_group_name_H-M 'P 4/m m m'
_symmetry_Int_Tables_number 123
_symmetry_space_group_name_Hall '-P 4 2'
_cell_length_a 3.589
_cell_length_b 3.589
_cell_length_c 8.221
_cell_angle_alpha 90.00
_cell_angle_beta 90.00
_cell_angle_gamma 90.00
loop_
_atom_site_label
_atom_site_type_symbol
_atom_site_fract_x
_atom_site_fract_y
_atom_site_fract_z
Tb1 Tb 0.000 0.000 0.219
Ga1 Ga 0.500 0.500 0.000
I1 I 0.500 0.500 0.500
```

N(E_F) = 0.86 states/eV per atom
ρ = 8.1 g cm⁻³

---

Q:
The following is a DFT calculation (PBE) of a relaxed Tb2GaI crystal.

```
data_Tb2GaI
_chemical_formula_sum 'Tb6 Ga3 I3'
_symmetry_space_group_name_H-M 'R -3 m'
_symmetry_Int_Tables_number 166
_symmetry_space_group_name_Hall '-R 3 2"'
_cell_length_a 4.2780
_cell_length_b 4.2780
_cell_length_c 22.1478
_cell_angle_alpha 90.00
_cell_angle_beta 90.00
_cell_angle_gamma 120.00
loop_
_atom_site_label
_atom_site_type_symbol
_atom_site_fract_x
_atom_site_fract_y
_atom_site_fract_z
Tb1 Tb 0.0000 0.0000 0.2344
Ga1 Ga 0.0000 0.0000 0.5000
I1 I 0.0000 0.0000 0.0000
```

N(E_F) = 0.60 states/eV per atom
ρ = 7.3 g cm⁻³

---

Best to worst by energy: Q, P.

---

P:
The following is a DFT calculation (PBE) of a relaxed TbGaI crystal.

```
data_TbGaI
_chemical_formula_sum 'Tb4 Ga4 I4'
_symmetry_space_group_name_H-M 'C 1 2/m 1'
_symmetry_Int_Tables_number 12
_cell_length_a 13.818
_cell_length_b 3.745
_cell_length_c 6.902
_cell_angle_alpha 90.00
_cell_angle_beta 105.72
_cell_angle_gamma 90.00
loop_
_symmetry_equiv_pos_as_xyz
'x,y,z'
'-x,-y,-z'
'-x,y,-z'
'x,-y,z'
'x+1/2,y+1/2,z'
'-x+1/2,-y+1/2,-z'
'-x+1/2,y+1/2,-z'
'x+1/2,-y+1/2,z'
loop_
_atom_site_label
_atom_site_type_symbol
_atom_site_fract_x
_atom_site_fract_y
_atom_site_fract_z
Tb1 Tb 0.143 0.000 0.022
Ga1 Ga 0.227 0.000 0.632
I1 I 0.026 0.500 0.266
```

N(E_F) = 0.91 states/eV per atom
ρ = 6.9 g cm⁻³

---

Q:
The following is a DFT calculation (PBE) of a relaxed TbGaI crystal.

```
data_TbGaI
_chemical_formula_sum 'Tb2 Ga2 I2'
_symmetry_space_group_name_H-M 'P -3 m 1'
_symmetry_Int_Tables_number 164
_symmetry_space_group_name_Hall '-P 3 2"'
_cell_length_a 4.2140
_cell_length_b 4.2140
_cell_length_c 12.1975
_cell_angle_alpha 90.00
_cell_angle_beta 90.00
_cell_angle_gamma 120.00
loop_
_atom_site_label
_atom_site_type_symbol
_atom_site_fract_x
_atom_site_fract_y
_atom_site_fract_z
Tb1 Tb 0.0000 0.0000 0.1658
Ga1 Ga 0.3333 0.6667 0.0269
I1 I 0.3333 0.6667 0.6701
```

N(E_F) = 0.32 states/eV per atom
ρ = 6.3 g cm⁻³

---

Best to worst by energy: Q, P.

---

P:
The following is a DFT calculation (PBE) of a relaxed Ga2TcI crystal.

```
data_Ga2TcI
_chemical_formula_sum 'Ga8 Tc4 I4'
_symmetry_space_group_name_H-M 'I -4 2 d'
_symmetry_Int_Tables_number 122
_symmetry_space_group_name_Hall 'I -4 2bw'
_cell_length_a 6.352
_cell_length_b 6.352
_cell_length_c 12.196
_cell_angle_alpha 90.00
_cell_angle_beta 90.00
_cell_angle_gamma 90.00
loop_
_atom_site_label
_atom_site_type_symbol
_atom_site_fract_x
_atom_site_fract_y
_atom_site_fract_z
Ga1 Ga 0.163 0.250 0.125
Tc1 Tc 0.000 0.000 0.000
I1 I 0.000 0.000 0.500
```

N(E_F) = 0.23 states/eV per atom
ρ = 4.9 g cm⁻³

---

Q:
The following is a DFT calculation (PBE) of a relaxed Ga2TcI crystal.

```
data_Ga2TcI
_chemical_formula_sum 'Ga8 Tc4 I4'
_symmetry_space_group_name_H-M 'F m -3 m'
_symmetry_Int_Tables_number 225
_symmetry_space_group_name_Hall '-F 4 2 3'
_cell_length_a 6.730
_cell_length_b 6.730
_cell_length_c 6.730
_cell_angle_alpha 90.00
_cell_angle_beta 90.00
_cell_angle_gamma 90.00
loop_
_atom_site_label
_atom_site_type_symbol
_atom_site_fract_x
_atom_site_fract_y
_atom_site_fract_z
Ga1 Ga 0.250 0.250 0.250
Tc1 Tc 0.000 0.000 0.000
I1 I 0.000 0.000 0.500
```

N(E_F) = 0.64 states/eV per atom
ρ = 7.9 g cm⁻³

---

Best to worst by energy: P, Q.